Entry 1:
VGa2Te4 after structural relaxation. Source: the Alexandria database, functional PBE.

Cell and atoms, written as extended XYZ:
```
7
Lattice="5.4754 0.0000 0.0000 0.0000 5.4754 0.0000 2.7377 2.7377 6.8053" Properties=species:S:1:pos:R:3 pbc="T T T"
Ga 2.7377 2.7377 1.4016
Ga 5.4754 5.4754 5.4037
Te 2.7377 0.0000 0.0000
Te 0.0000 2.7377 0.0000
Te 2.7377 2.7377 4.1240
Te 5.4754 5.4754 2.6813
V 0.0000 0.0000 0.0000
```

Formation energy without anion corrections: 0.52 eV/f.u.
Uncorrected energy: -3.889 eV per atom

=====

Entry 2:
V2GaTe after structural relaxation. Source: the Alexandria database, functional PBE.

Cell and atoms, written as extended XYZ:
```
4
Lattice="1.1641 -4.1322 1.3732 -2.9330 -3.4037 -0.3587 0.6981 -3.2671 -3.0258" Properties=species:S:1:pos:R:3 pbc="T T T"
V -0.2677 -2.7008 -0.5028
V -0.8031 -8.1023 -1.5085
Ga 0.0000 0.0000 0.0000
Te -0.5354 -5.4015 -1.0056
```

Formation energy without anion corrections: 0.79 eV/f.u.
Uncorrected energy: -5.903 eV per atom
ΔE to the lowest computed polymorph: 0.000 eV/atom

=====

Entry 3:
VGaTe3 after structural relaxation. Source: the Alexandria database, functional PBE.

Cell and atoms, written as extended XYZ:
```
5
Lattice="-4.9624 -1.0984 -1.5873 1.0608 -5.2099 0.2888 -1.6126 -0.0471 5.0743" Properties=species:S:1:pos:R:3 pbc="T T T"
V -2.7571 -3.1777 1.8879
Te -2.4812 -0.5492 -0.7936
Te 0.5304 -2.6050 0.1444
Te -0.8063 -0.0235 2.5372
Ga 0.0000 0.0000 0.0000
```

Formation energy without anion corrections: 3.46 eV/f.u.
Uncorrected energy: -3.622 eV per atom
ΔE to the lowest computed polymorph: 0.934 eV/atom

=====

Entry 4:
V4GaTe8 after structural relaxation. Source: the Alexandria database, functional PBE.

Cell and atoms, written as extended XYZ:
```
13
Lattice="6.8003 0.0000 3.9262 2.2668 6.4114 3.9262 0.0000 0.0000 7.8524" Properties=species:S:1:pos:R:3 pbc="T T T"
Ga 6.8003 4.8086 11.7785
V 3.2361 2.2883 5.6051
V 3.2361 2.2883 10.0996
V 4.5336 5.9580 7.8524
V 7.1284 2.2883 7.8524
Te 4.5336 1.0603 7.8524
Te 2.2668 4.1220 3.9262
Te 4.6418 0.7631 3.9262
Te 1.0793 0.7631 1.8693
Te 1.0793 0.7631 5.9830
Te 5.5449 3.9209 6.1006
Te 5.5449 3.9209 9.6041
Te 2.5108 3.9209 7.8524
```

Formation energy without anion corrections: -4.50 eV/f.u.
Uncorrected energy: -5.318 eV per atom

=====

Entry 5:
VGaTe3 after structural relaxation. Source: the Alexandria database, functional PBE.

Cell and atoms, written as extended XYZ:
```
5
Lattice="5.2956 0.0000 0.0000 0.0000 5.2956 0.0000 0.0000 0.0000 5.2956" Properties=species:S:1:pos:R:3 pbc="T T T"
Te 0.0000 2.6478 0.0000
Te 2.6478 0.0000 0.0000
Te 0.0000 0.0000 2.6478
V 0.0000 0.0000 0.0000
Ga 2.6478 2.6478 2.6478
```

Formation energy without anion corrections: 0.68 eV/f.u.
Uncorrected energy: -4.178 eV per atom
ΔE to the lowest computed polymorph: 0.378 eV/atom

=====

Entry 6:
V2GaTe4 after structural relaxation. Source: the Alexandria database, functional PBE.

Cell and atoms, written as extended XYZ:
```
14
Lattice="7.0912 -0.0480 4.0558 -2.2753 6.7164 4.0558 0.0355 0.0492 8.1690" Properties=species:S:1:pos:R:3 pbc="T T T"
V 3.5456 -0.0240 2.0279
V 2.4257 3.3588 8.1403
V 0.0000 0.0000 0.0000
V 3.5634 0.0006 6.1124
Te 0.1036 5.2752 12.2235
Te 3.5187 5.0712 6.2476
Te 1.3328 1.6464 10.0329
Te 1.3174 1.6252 6.2763
Te 4.5774 1.6030 8.1415
Te 3.5340 5.0925 10.0042
Te 4.7479 1.4424 4.0570
Te 0.2741 5.1146 8.1391
Ga 0.0427 2.5245 4.0701
Ga 4.8088 4.1931 12.2104
```

Formation energy without anion corrections: -1.96 eV/f.u.
Uncorrected energy: -5.113 eV per atom

=====

Entry 7:
V2GaTe4 after structural relaxation. Source: the Alexandria database, functional PBE.

Cell and atoms, written as extended XYZ:
```
7
Lattice="-1.9533 -0.7265 -2.8790 5.2487 -2.1900 -3.0085 -3.7754 -5.2682 6.0848" Properties=species:S:1:pos:R:3 pbc="T T T"
V -1.4414 -3.3019 1.8112
V 0.9614 -4.8828 -1.6139
Te -0.8677 -2.8717 -0.8804
Te -3.3154 -5.1511 1.3556
Te 2.8354 -3.0336 -1.1582
Te 0.3877 -5.3130 1.0778
Ga 0.0000 0.0000 0.0000
```

Formation energy without anion corrections: -1.97 eV/f.u.
Uncorrected energy: -5.114 eV per atom

=====

Entry 8:
V2GaTe after structural relaxation. Source: the Alexandria database, functional PBE.

Cell and atoms, written as extended XYZ:
```
8
Lattice="3.9535 0.0000 0.0000 0.0000 3.9535 0.0000 1.9768 1.9768 9.2567" Properties=species:S:1:pos:R:3 pbc="T T T"
Te 3.9535 1.9768 4.6284
Te 0.0000 0.0000 0.0000
V 1.1212 2.9651 2.3142
V 2.8323 0.9884 2.3142
V 2.9651 3.0979 6.9425
V 4.9419 4.8091 6.9425
Ga 1.9768 3.9535 4.6284
Ga 1.9768 1.9768 0.0000
```

Formation energy without anion corrections: 1.49 eV/f.u.
Uncorrected energy: -5.730 eV per atom
ΔE to the lowest computed polymorph: 0.173 eV/atom